(1)
GaCu2Si2, optimized geometry, DFT PBE; SG = I4/mmm (139); E above lowest polymorph = 0 meV/atom; magnetization = 0.000 μB per cell
1.0
-1.9056 1.9056 5.2573
1.9056 -1.9056 5.2573
1.9056 1.9056 -5.2573
Ga Cu Si
1 2 2
Cartesian
0.0000 0.0000 0.0000
1.9056 0.0000 2.6287
0.0000 1.9056 2.6287
0.0000 0.0000 4.0853
0.0000 0.0000 6.4293

=====

(2)
Cs2OsBr4F2, optimized geometry, DFT PBE; SG = C2/m (12); energy = -3.957 eV/atom; magnetization = 2.000 μB per cell
1.0
6.1866 -3.8989 0.0000
6.1866 3.8989 0.0000
-1.7037 0.0000 6.1544
Cs Os Br F
2 1 4 2
Cartesian
1.6429 0.0000 1.9701
9.0267 0.0000 4.1843
6.1866 0.0000 0.0000
4.8139 1.7985 1.1149
5.8557 1.7985 5.0396
4.8139 -1.7985 1.1149
5.8557 -1.7985 5.0396
3.2481 0.0000 4.6502
7.4214 0.0000 1.5042

=====

(3)
La4In2Hg, optimized geometry, DFT PBE; SG = I4/mmm (139); energy relative to the elements = -4.9 kJ/mol of atoms; magnetization = 0.000 μB per cell
1.0
-2.9194 2.9194 8.0546
2.9194 -2.9194 8.0546
2.9194 2.9194 -8.0546
La In Hg
4 2 1
Cartesian
2.9194 0.0000 0.0000
0.0000 0.0000 3.1068
0.0000 2.9194 0.0000
0.0000 0.0000 13.0023
0.0000 0.0000 6.2497
0.0000 0.0000 9.8594
0.0000 0.0000 0.0000

=====

(4)
Sm5Ir2Pt2, optimized geometry, DFT PBE; SG = Cmce (64); energy relative to the elements = -85.5 kJ/mol of atoms; magnetization = 0.000 μB per cell
1.0
7.4683 -3.8360 0.0000
7.4683 3.8360 0.0000
0.0000 0.0000 7.6717
Sm Ir Pt
10 4 4
Cartesian
0.0000 0.0000 0.0000
5.4528 2.5049 5.1266
5.4528 1.3312 1.2907
9.4838 2.5049 5.1266
9.4838 1.3312 1.2907
7.4683 0.0000 3.8359
5.4528 -1.3312 6.3810
5.4528 -2.5049 2.5452
9.4838 -1.3312 6.3810
9.4838 -2.5049 2.5452
7.4683 2.8540 2.8648
7.4683 0.9821 6.7006
7.4683 -0.9821 0.9711
7.4683 -2.8540 4.8070
3.0362 0.0000 0.0000
4.4321 0.0000 3.8359
10.5045 0.0000 3.8359
11.9004 0.0000 0.0000

=====

(5)
BaNa2ScF8, optimized geometry, DFT PBE; SG = P-1 (2); energy = -5.327 eV/atom; magnetization = 1.112 μB per cell
1.0
4.9038 0.0000 0.0000
0.1295 5.1573 0.0000
0.0020 0.0064 7.6173
Ba Na Sc F
1 2 1 8
Cartesian
0.0000 0.0000 0.0000
2.5170 2.5797 2.1325
2.5183 2.5841 5.4849
0.0010 0.0032 3.8087
0.7340 3.9531 2.2820
0.7323 3.9542 5.3366
1.7277 1.1211 3.8102
2.3355 1.3718 0.0002
2.6998 3.7920 7.6171
3.3076 4.0427 3.8071
4.3030 1.2096 2.2807
4.3013 1.2107 5.3353

=====

(6)
SrGeAs, optimized geometry, DFT PBE; SG = P-6m2 (187); energy relative to the elements = -58.0 kJ/mol of atoms; magnetization = 0.000 μB per cell
1.0
4.5753 0.0000 0.0000
-2.2876 3.9623 0.0000
0.0000 0.0000 4.4402
Sr Ge As
1 1 1
Cartesian
0.0000 0.0000 0.0000
0.0000 2.6415 2.2201
2.2876 1.3208 2.2201

=====

(7)
La2YSnHg, optimized geometry, DFT PBE; SG = P4/mmm (123); energy relative to the elements = 24.8 kJ/mol of atoms; magnetization = 1.723 μB per cell
1.0
5.9005 0.0000 0.0000
0.0000 5.9005 0.0000
0.0000 0.0000 5.4779
La Y Sn Hg
2 1 1 1
Cartesian
0.0000 2.9503 0.0000
2.9503 0.0000 0.0000
0.0000 0.0000 2.7389
2.9503 2.9503 2.7389
2.9503 2.9503 0.0000

=====

(8)
Al2Cr, optimized geometry, DFT PBE; SG = P4/mmm (123); energy relative to the elements = -4.0 kJ/mol of atoms; magnetization = 0.079 μB per cell
1.0
4.3676 0.0000 0.0000
0.0000 4.3676 0.0000
0.0000 0.0000 2.6272
Al Cr
2 1
Cartesian
0.0000 2.1838 0.0000
2.1838 0.0000 0.0000
0.0000 0.0000 1.3136

=====

(9)
SrZrHg2, optimized geometry, DFT PBE; SG = P4mm (99); energy relative to the elements = 2.0 kJ/mol of atoms; magnetization = 0.000 μB per cell
1.0
3.5376 0.0000 0.0000
0.0000 3.5376 0.0000
0.0000 0.0000 8.8087
Sr Zr Hg
1 1 2
Cartesian
0.0000 0.0000 0.0000
1.7688 1.7688 2.8225
0.0000 0.0000 4.4844
1.7688 1.7688 6.5121

=====

(10)
TeAs3C, optimized geometry, DFT PBE; SG = Pm-3m (221); E above lowest polymorph = 1374 meV/atom; magnetization = 0.660 μB per cell
1.0
5.3835 0.0000 0.0000
0.0000 5.3835 0.0000
0.0000 0.0000 5.3835
Te As C
1 3 1
Cartesian
0.0000 0.0000 0.0000
0.0000 0.0000 2.6918
0.0000 2.6918 0.0000
2.6918 0.0000 0.0000
2.6918 2.6918 2.6918

=====

Question: Which of these has the highest magnetization?
Answer: Cs2OsBr4F2